Fe3IN (PBE, optimized geometry); ΔE_f (raw) = 511 meV per atom; symmetry = Pm-3m, No. 221; calculated volume = 13.103 Å³ per atom; density of states at the Fermi level = 6.859 states/eV per cell; relative energy among the computed polymorphs = 0.000 eV per atom
1.0
4.0313 0.0000 0.0000
0.0000 4.0313 0.0000
0.0000 0.0000 4.0313
Fe N I
3 1 1
Cartesian
2.0157 0.0000 0.0000 Fe
0.0000 2.0157 0.0000 Fe
0.0000 0.0000 2.0157 Fe
0.0000 0.0000 0.0000 N
2.0157 2.0157 2.0157 I

***

Mg3Hg2Sb (PBE, optimized geometry); ΔE_f (raw) = -182 meV per atom; symmetry = C2/m, No. 12; calculated volume = 23.743 Å³ per atom; density of states at the Fermi level = 1.967 states/eV per cell
1.0
4.2245 2.2214 -0.7354
3.4165 7.8556 -2.6006
-1.7083 -2.2673 6.3161
Mg Sb Hg
3 1 2
Cartesian
2.1123 1.6891 1.3796 Mg
3.8205 6.1205 1.6005 Mg
3.8205 5.0385 -1.6680 Mg
0.0000 0.0000 0.0000 Sb
0.0000 1.1167 3.3733 Hg
1.7083 4.4715 0.3421 Hg

***

Pm5Dy5Th2 (PBE, optimized geometry); calculated total energy = -5.10 eV per atom; symmetry = P-1, No. 2; calculated volume = 32.860 Å³ per atom; density of states at the Fermi level = 17.095 states/eV per cell
1.0
5.8136 -0.3145 2.1627
2.7347 7.5477 -0.3213
2.7347 -2.2435 10.1955
Th Pm Dy
2 5 5
Cartesian
5.5515 1.7815 9.0742 Th
5.7315 3.2083 2.9628 Th
2.7275 5.0600 2.2798 Pm
5.7058 0.7856 5.6174 Pm
8.5554 -0.0702 9.7571 Pm
5.5772 4.2042 6.4196 Pm
0.0000 0.0000 0.0000 Pm
5.7057 -1.6751 8.2538 Dy
8.4447 3.3631 10.5619 Dy
2.8382 1.6267 1.4750 Dy
2.7347 2.6521 4.9371 Dy
5.5772 6.6648 3.7832 Dy

***

TbPaFeTc (PBE, optimized geometry); calculated total energy = -8.24 eV per atom; symmetry = F-43m, No. 216; calculated volume = 19.533 Å³ per atom; density of states at the Fermi level = 3.274 states/eV per cell
1.0
-0.3947 4.5416 1.4985
-3.9746 2.5089 -0.9672
-3.0580 1.1050 3.5291
Fe Tc Tb Pa
1 1 1 1
Cartesian
-5.5704 6.1166 3.0453 Fe
-1.8568 2.0389 1.0151 Tc
0.0000 0.0000 0.0000 Tb
-3.7136 4.0777 2.0302 Pa

***

Dy2AgOsC (PBE, optimized geometry); calculated total energy = -6.88 eV per atom; symmetry = P4/mmm, No. 123; calculated volume = 19.503 Å³ per atom; density of states at the Fermi level = 2.339 states/eV per cell
1.0
-3.5021 0.3737 1.6607
-1.9523 -3.0849 -3.4228
0.9872 -3.9111 2.9618
Dy C Os Ag
2 1 1 1
Cartesian
0.4936 -1.9555 1.4809 Dy
-0.9762 -1.5424 -1.7114 Dy
0.0000 0.0000 0.0000 C
-1.7510 0.1868 0.8304 Os
-2.2336 -3.3111 0.5999 Ag

***

CaURh4 (PBE, optimized geometry); symmetry = F-43m, No. 216; calculated volume = 17.739 Å³ per atom; density of states at the Fermi level = 9.655 states/eV per cell; relative energy among the computed polymorphs = 0.000 eV per atom
1.0
5.3195 0.0000 0.0000
2.6597 4.6068 0.0000
2.6597 1.5356 4.3433
Ca Rh U
1 4 1
Cartesian
0.0000 0.0000 0.0000 Ca
5.3195 1.5335 2.7153 Rh
6.6512 3.8401 2.7153 Rh
5.3195 3.0712 0.5406 Rh
3.9878 3.8401 2.7153 Rh
2.6597 1.5356 1.0858 U

***

Ti2CuAu2 (PBE, optimized geometry); symmetry = P4/mbm, No. 127; calculated volume = 17.382 Å³ per atom; density of states at the Fermi level = 10.319 states/eV per cell; relative energy among the computed polymorphs = 0.159 eV per atom
1.0
-4.0678 -4.0937 4.2898
4.9948 0.4380 5.1543
-1.4940 2.7561 1.2135
Au Ti Cu
4 4 2
Cartesian
1.2581 -0.4007 2.4589 Au
2.8341 -1.1089 6.0077 Au
-1.9071 -2.5468 3.4364 Au
-0.3310 -3.2550 6.9852 Au
-1.2621 0.0907 2.8965 Ti
-2.4727 -1.8840 5.8910 Ti
0.6951 -0.9902 7.7611 Ti
1.9058 0.9844 4.7667 Ti
0.0000 0.0000 0.0000 Cu
0.4635 -1.8278 4.7221 Cu

***

FeTe2PdI (PBE, optimized geometry); ΔE_f (raw) = 761 meV per atom; symmetry = P4/mmm, No. 123; calculated volume = 30.459 Å³ per atom; density of states at the Fermi level = 8.359 states/eV per cell; relative energy among the computed polymorphs = 0.114 eV per atom
1.0
-3.2085 -0.2525 4.2164
-4.0567 -1.2910 -3.1643
1.2009 -5.2437 0.5998
Te I Fe Pd
2 1 1 1
Cartesian
-1.6042 -0.1263 2.1082 Te
-2.0284 -0.6455 -1.5821 Te
0.6005 -2.6219 0.2999 I
-3.0321 -3.3936 0.8260 Fe
0.0000 0.0000 0.0000 Pd

***

Rb2NbBr4Cl2 (PBE, optimized geometry); ΔE_f (raw) = -1404 meV per atom; symmetry = I4/mmm, No. 139; calculated volume = 34.242 Å³ per atom; density of states at the Fermi level = 5.094 states/eV per cell
1.0
-1.9927 -4.0799 5.9686
-1.7830 -2.6630 -6.7801
7.3188 0.5639 -1.5355
Br Rb Nb Cl
4 2 1 2
Cartesian
0.3698 -2.4470 0.8638 Br
0.3880 -1.8933 -5.5292 Br
3.1733 -3.7319 -3.2109 Br
5.1478 -0.2058 -2.7865 Br
4.0470 -2.2827 0.1377 Rb
-0.5039 -3.8962 -2.4847 Rb
0.0000 0.0000 0.0000 Nb
4.2330 -1.6051 -6.3587 Cl
1.3028 -0.4940 -1.9570 Cl

***

K2BaCo (PBE, optimized geometry); symmetry = Immm, No. 71; calculated volume = 48.428 Å³ per atom; density of states at the Fermi level = 4.899 states/eV per cell; relative energy among the computed polymorphs = 0.007 eV per atom
1.0
-8.2479 1.4500 6.5439
-5.4925 0.1584 9.0973
0.6438 4.4870 1.5749
Ba K Co
1 2 1
Cartesian
-3.2741 1.5238 4.3040 Ba
-0.6402 4.2304 2.8307 K
-5.2644 3.3042 7.3523 K
-9.8224 4.5715 12.9121 Co

***

CsTiPbF6 (PBE, optimized geometry); ΔE_f (raw) = -2936 meV per atom; symmetry = Imma, No. 74; calculated volume = 19.600 Å³ per atom; density of states at the Fermi level = 4.823 states/eV per cell
1.0
-1.9831 -0.4531 8.0191
1.7348 -7.7052 -0.0064
5.2301 5.2277 -2.6788
F Ti Pb Cs
12 2 2 2
Cartesian
2.6634 -5.4725 0.3494 F
4.1439 0.8090 -0.3623 F
2.3184 2.5418 4.9845 F
0.8380 -3.7396 5.6963 F
4.9580 -2.8070 -0.3653 F
1.5038 -3.5875 3.0039 F
0.5863 -5.9432 4.0767 F
4.2922 -2.9592 2.3270 F
3.4781 0.6568 2.3300 F
0.0239 -0.1237 5.6993 F
0.6897 0.0285 3.0069 F
4.3956 3.0126 1.2572 F
-0.1241 -4.0792 4.0064 Ti
-0.9915 -0.2266 4.0095 Ti
1.6235 2.3873 2.6702 Pb
2.6151 2.6138 -1.3394 Pb
3.0093 -1.3505 4.9354 Cs
1.9725 -1.5802 0.3985 Cs

***

Dy7Zn2Ga2 (PBE, optimized geometry); calculated total energy = -3.79 eV per atom; symmetry = Cmmm, No. 65; calculated volume = 27.281 Å³ per atom; density of states at the Fermi level = 11.281 states/eV per cell
1.0
6.4827 -0.0028 -0.9854
0.0036 7.4687 0.0030
-1.3874 -0.0019 6.4088
Dy Zn Ga
7 2 2
Cartesian
-0.6911 5.3449 3.2067 Dy
3.2425 2.1215 -0.4919 Dy
3.2438 5.3444 -0.4905 Dy
2.5486 1.9149 2.7124 Dy
0.0000 0.0000 0.0000 Dy
2.5503 5.5491 2.7139 Dy
-0.6927 2.1220 3.2051 Dy
4.1993 7.4661 1.1663 Zn
0.8996 -0.0021 4.2600 Zn
4.2236 3.7305 4.4951 Ga
0.8754 3.7336 0.9313 Ga

***

CsNaYF6 (PBE, optimized geometry); ΔE_f (raw) = -2984 meV per atom; symmetry = Imma, No. 74; calculated volume = 20.499 Å³ per atom; density of states at the Fermi level = 11.886 states/eV per cell
1.0
-6.8771 -2.1092 -4.2240
-1.4342 -5.2759 4.9694
0.9726 7.6008 2.8580
F Cs Y Na
12 2 2 2
Cartesian
-3.6110 -2.4923 2.2530 F
-0.9170 3.5701 3.0767 F
-1.7513 0.5009 5.9675 F
-4.5619 -0.3611 4.2412 F
-2.7767 0.5768 -0.6378 F
-2.2817 -2.4759 4.9512 F
-5.5873 -0.2852 -2.3641 F
-6.4216 -3.3543 0.5267 F
-5.0569 2.6917 -1.3478 F
-3.7276 2.7081 1.3504 F
-2.7628 1.6331 3.6826 F
-4.5759 -1.4173 -0.0792 F
-6.1739 0.5449 1.5428 Cs
-1.1647 -0.3291 2.0606 Cs
0.4863 3.8004 1.4290 Y
-2.9522 2.7458 -0.6830 Y
-3.4385 -1.0546 -2.1120 Na
-4.1556 -3.6925 0.3727 Na

***

Li4Pb2F (PBE, optimized geometry); ΔE_f (raw) = -884 meV per atom; symmetry = I4/mmm, No. 139; calculated volume = 18.209 Å³ per atom; density of states at the Fermi level = 1.695 states/eV per cell
1.0
-1.5568 -0.5833 3.7472
-3.0317 -2.2421 -1.6085
6.5094 -4.8446 -0.2922
Li Pb F
4 2 1
Cartesian
-1.5158 -1.1210 -0.8042 Li
-0.7784 -0.2916 1.8736 Li
0.8109 -6.0222 1.6419 Li
1.1100 -1.6478 0.2047 Li
2.7351 -4.0601 0.5043 Pb
-0.8141 -3.6098 1.3423 Pb
0.0000 0.0000 0.0000 F

***

HgHCl3 (PBE, optimized geometry); symmetry = P2_1/c, No. 14; calculated volume = 30.611 Å³ per atom; density of states at the Fermi level = 0.000 states/eV per cell; relative energy among the computed polymorphs = 0.011 eV per atom
1.0
6.4332 0.0000 -0.1096
0.0000 7.7884 0.0000
-0.2692 0.0000 12.2235
H Cl Hg
4 12 4
Cartesian
3.2797 2.1952 11.4340 H
5.9664 6.0894 6.7368 H
2.8844 5.5932 0.6799 H
0.1976 1.6990 5.3771 H
1.8145 5.2364 0.0244 Cl
4.3589 2.8455 8.0760 Cl
1.2675 1.3422 6.0326 Cl
4.5272 6.7470 1.8491 Cl
1.6368 1.0414 10.2648 Cl
4.3495 2.5520 12.0895 Cl
1.8051 4.9429 4.0379 Cl
4.9880 2.8528 4.0982 Cl
1.1760 4.9356 8.0157 Cl
4.8872 6.7397 10.0948 Cl
4.8965 6.4462 6.0813 Cl
1.2769 1.0487 2.0191 Cl
6.2030 1.9601 9.1355 Hg
-0.0389 5.8283 2.9784 Hg
3.0431 5.8543 9.0353 Hg
3.1209 1.9341 3.0786 Hg

***

LiAgBiS2 (PBE, optimized geometry); ΔE_f (raw) = -364 meV per atom; symmetry = P2/c, No. 13; calculated volume = 22.080 Å³ per atom; density of states at the Fermi level = 2.216 states/eV per cell
1.0
5.2839 0.0000 0.0000
0.0000 6.3973 0.0639
0.0000 -1.8519 6.5137
Ag S Bi Li
2 4 2 2
Cartesian
0.0000 -0.9259 3.2568 Ag
0.0000 0.0000 0.0000 Ag
3.5201 2.9107 6.2938 S
1.7638 1.6347 0.2837 S
1.7638 3.8366 3.0370 S
3.5201 0.7088 3.5406 S
4.0110 2.7357 1.6603 Bi
1.2729 1.8098 4.9172 Bi
2.7422 -1.3889 4.8852 Li
2.5417 -0.4630 1.6284 Li

***

KRbBeF4 (PBE, optimized geometry); ΔE_f (raw) = -3064 meV per atom; symmetry = P2_1/m, No. 11; calculated volume = 17.519 Å³ per atom; density of states at the Fermi level = 0.000 states/eV per cell
1.0
-0.1660 5.5386 -1.2637
-2.2742 -1.2933 -5.3695
-6.6053 -1.9904 3.2770
K Be F Rb
2 2 8 2
Cartesian
-4.0718 -0.3021 0.1363 K
-4.9738 2.5570 -3.4925 K
-3.6603 -0.3736 -3.3429 Be
-5.3852 2.6286 -0.0133 Be
-2.9770 0.9000 -3.9391 F
-6.0685 1.3549 0.5829 F
-2.8341 -0.9547 -2.1406 F
-3.8009 -1.5045 -4.4232 F
-3.9277 2.3159 -0.5553 F
-5.2446 3.7595 1.0670 F
-6.2114 3.2097 -1.2156 F
-5.1178 -0.0609 -2.8009 F
-7.8818 0.9470 -1.8730 Rb
-1.1637 1.3080 -1.4832 Rb

***

Cd2SiS (PBE, optimized geometry); ΔE_f (raw) = 482 meV per atom; symmetry = Fm-3m, No. 225; calculated volume = 20.371 Å³ per atom; density of states at the Fermi level = 5.626 states/eV per cell; relative energy among the computed polymorphs = 0.334 eV per atom
1.0
-1.2261 -4.2925 1.9371
-3.4737 -0.2318 3.4000
-4.3072 -2.0041 -1.0548
S Cd Si
1 2 1
Cartesian
-4.5035 -3.2642 2.1412 S
-6.7552 -4.8963 3.2117 Cd
-2.2517 -1.6321 1.0706 Cd
0.0000 0.0000 0.0000 Si

***

ScAg3 (PBE, optimized geometry); calculated total energy = -3.91 eV per atom; symmetry = Immm, No. 71; calculated volume = 18.639 Å³ per atom; density of states at the Fermi level = 2.314 states/eV per cell
1.0
4.1654 0.0000 0.0000
0.0000 4.2935 0.0000
-2.0827 -2.1467 4.1689
Sc Ag
1 3
Cartesian
0.0000 3.9357 0.0000 Sc
2.0827 1.7890 0.0000 Ag
2.0827 -0.3578 2.0855 Ag
0.0000 1.7889 2.0834 Ag

***

LiAcPaN3 (PBE, optimized geometry); ΔE_f (raw) = -1191 meV per atom; symmetry = C2/m, No. 12; calculated volume = 14.924 Å³ per atom; density of states at the Fermi level = 0.121 states/eV per cell
1.0
-0.4457 3.6999 -0.9879
-6.5919 -2.5170 1.0703
2.2639 1.9683 6.3500
Li N Pa Ac
2 6 2 2
Cartesian
-6.2600 1.7433 1.8305 Li
1.4862 1.4078 4.6019 Li
-4.2615 1.8320 1.2612 N
-3.0068 2.7158 4.0048 N
-1.7669 0.4353 2.4275 N
-0.5122 1.3191 5.1712 N
-5.1109 0.7180 4.9946 N
0.3372 2.4332 1.4377 N
-3.8808 0.3682 3.1297 Pa
-0.8930 2.7830 3.3027 Pa
-2.7877 1.3291 6.2351 Ac
-1.9860 1.8221 0.1973 Ac

***

PmAlAs2O8 (PBE, optimized geometry); ΔE_f (raw) = -1905 meV per atom; symmetry = I-4m2, No. 119; calculated volume = 12.688 Å³ per atom; density of states at the Fermi level = 0.000 states/eV per cell
1.0
5.8500 -0.0190 0.0000
-2.6117 5.2347 0.0000
-1.6192 -2.6078 4.9800
O Al As Pm
8 1 2 1
Cartesian
3.0010 3.0123 0.9606 O
4.2967 0.5769 1.6340 O
0.2374 2.2034 0.9606 O
-0.2503 1.4178 4.0195 O
0.2503 -1.4178 4.0195 O
2.8422 1.4799 3.3460 O
3.0078 -1.4990 3.3460 O
1.5534 -0.5959 1.6340 O
-1.3058 2.6174 2.4900 Al
1.6192 2.6078 0.0000 As
2.9250 -0.0095 2.4900 As
0.0000 0.0000 0.0000 Pm

***

Ba5CaCd4 (PBE, optimized geometry); calculated total energy = -1.78 eV per atom; symmetry = P4/mmm, No. 123; calculated volume = 41.372 Å³ per atom; density of states at the Fermi level = 8.557 states/eV per cell
1.0
-3.8910 1.0152 -1.3713
1.2624 -0.5843 -4.0145
-6.1917 -22.0310 1.2593
Ca Cd Ba
1 4 5
Cartesian
0.0000 0.0000 0.0000 Ca
-2.5203 -8.9677 0.5126 Cd
-4.8476 -17.2484 0.9859 Cd
-1.3441 -4.7827 0.2734 Cd
-3.6714 -13.0633 0.7467 Cd
-5.5703 -14.9281 -1.8273 Ba
-6.7109 -18.9866 -1.5953 Ba
-3.2500 -6.6721 -2.2992 Ba
-4.4102 -10.8001 -2.0633 Ba
-2.1094 -2.6136 -2.5312 Ba

***

UB2PbO8 (PBE, optimized geometry); ΔE_f (raw) = -2094 meV per atom; symmetry = C2/m, No. 12; calculated volume = 12.188 Å³ per atom
1.0
4.7291 -0.2212 -0.2038
1.9853 4.2979 -0.2038
-0.0235 -0.0143 7.0449
Pb O B U
1 8 2 1
Cartesian
-0.0118 -0.0071 3.5224 Pb
4.3074 1.1707 1.4150 O
1.7238 1.0466 3.8537 O
3.0256 3.2817 1.4150 O
2.3835 2.8918 5.2223 O
4.9671 3.0158 2.7836 O
5.1270 3.1129 0.2879 O
1.5639 0.9495 6.3494 O
3.6653 0.7808 5.2223 O
4.3895 2.6651 1.5140 B
2.3014 1.3973 5.1233 B
0.0000 0.0000 0.0000 U